Computed, not measured: an optimized crystal structure of SrTaCr2 at the PBE level of DFT.

For the energy of formation from the pure elements, the calculation gives 1.291 eV/atom. The polymorph energy (0 for the lowest one) is 664 meV per atom. The value obtained for the raw total energy is -55.23 eV/cell.

Unit cell a=5.0104 b=5.0104 c=9.1932 alpha=74.19 beta=74.19 gamma=90.00
Site moments in Bohr magnetons follow the coordinates.
Atoms (fractional coordinates):
Sr 0.5000 0.5000 0.0000  0.00
Sr 0.2500 0.7500 0.5000  0.00
Cr 0.3750 0.1253 0.7500  2.37
Cr 0.8750 0.1247 0.7500  2.50
Cr 0.8753 0.6250 0.2500  2.09
Cr 0.8747 0.1250 0.2500  2.09
Ta 0.0000 0.0000 0.0000  -0.72
Ta 0.7500 0.2500 0.5000  -0.72

Computed, not measured: an optimized crystal structure of NaZnPd2 at the PBE level of DFT.

For the energy of formation from the pure elements, the calculation gives -0.339 eV/atom. The value obtained for the raw total energy is -14.33 eV/cell.

Unit cell a=2.9855 b=2.9855 c=7.5055 alpha=90.00 beta=90.00 gamma=90.00
Atoms (fractional coordinates):
Na 0.5000 0.5000 0.5000
Pd 0.0000 0.0000 0.7926
Pd 0.0000 0.0000 0.2074
Zn 0.5000 0.5000 0.0000

Computed, not measured: an optimized crystal structure of K2CuMo at the PBE level of DFT.

For the energy of formation from the pure elements, the calculation gives 0.866 eV/atom. The polymorph energy (0 for the lowest one) is 0 meV per atom. The value obtained for the raw total energy is -13.66 eV/cell.

Unit cell a=4.0183 b=2.8191 c=10.4872 alpha=84.28 beta=90.00 gamma=90.00
Site moments in Bohr magnetons follow the coordinates.
Atoms (fractional coordinates):
Cu 0.5000 0.8511 0.6724  0.01
Mo 0.0000 0.3810 0.5900  0.39
K 0.5000 0.9846 0.3284  0.01
K 0.0000 0.2833 0.9092  0.00

Computed, not measured: an optimized crystal structure of SmHoSc4 at the PBE level of DFT.

For the energy of formation from the pure elements, the calculation gives 0.066 eV/atom. The polymorph energy (0 for the lowest one) is 24 meV per atom. The value obtained for the raw total energy is -68.45 eV/cell.

Unit cell a=8.4403 b=5.3283 c=9.8100 alpha=90.00 beta=105.00 gamma=129.14
Atoms (fractional coordinates):
Sc 0.7115 0.4611 0.4165
Sc 0.9593 0.2094 0.9169
Sc 0.7949 0.0446 0.5835
Sc 0.0407 0.7906 0.0831
Sc 0.2885 0.5389 0.5835
Sc 0.4576 0.7075 0.9169
Sc 0.5424 0.2925 0.0831
Sc 0.2051 0.9554 0.4165
Ho 0.8737 0.1237 0.2475
Ho 0.1263 0.8763 0.7525
Sm 0.6236 0.3736 0.7473
Sm 0.3764 0.6264 0.2527

Computed, not measured: an optimized crystal structure of Si2NiCl at the PBE level of DFT.

The polymorph energy (0 for the lowest one) is 157 meV per atom. The value obtained for the raw total energy is -19.14 eV/cell. The value obtained for the formation energy without anion corrections is -16.2 kJ per mole of atoms.

Unit cell a=2.8806 b=2.8804 c=9.0607 alpha=92.63 beta=98.60 gamma=90.00
Atoms (fractional coordinates):
Si 0.3493 0.1435 0.7650
Si 0.4996 0.1898 0.0874
Cl 0.6064 0.2225 0.3145
Ni 0.9381 0.6713 0.9570

Computed, not measured: an optimized crystal structure of Pu2NpPt at the PBE level of DFT.

For the energy of formation from the pure elements, the calculation gives -0.107 eV/atom. The polymorph energy (0 for the lowest one) is 11 meV per atom. The value obtained for the raw total energy is -48.08 eV/cell.

Unit cell a=4.8238 b=4.8238 c=4.8238 alpha=60.00 beta=60.00 gamma=60.00
Site moments in Bohr magnetons follow the coordinates.
Atoms (fractional coordinates):
Np 0.0000 0.0000 0.0000  -2.37
Pu 0.2500 0.2500 0.2500  4.54
Pu 0.7500 0.7500 0.7500  4.54
Pt 0.5000 0.5000 0.5000  0.00

Computed, not measured: an optimized crystal structure of Tc2AgW at the PBE level of DFT.

For the energy of formation from the pure elements, the calculation gives 0.469 eV/atom. The polymorph energy (0 for the lowest one) is 175 meV per atom. The value obtained for the raw total energy is -34.66 eV/cell.

Unit cell a=4.4534 b=4.4534 c=4.4534 alpha=60.00 beta=60.00 gamma=60.00
Atoms (fractional coordinates):
W 0.5000 0.5000 0.5000
Tc 0.7500 0.7500 0.7500
Tc 0.2500 0.2500 0.2500
Ag 0.0000 0.0000 0.0000

Computed, not measured: an optimized crystal structure of CaFeB at the PBE level of DFT.

For the energy of formation from the pure elements, the calculation gives -0.229 eV/atom. The value obtained for the raw total energy is -35.66 eV/cell.

Unit cell a=3.6543 b=3.6543 c=8.0434 alpha=90.00 beta=90.00 gamma=90.00
Site moments in Bohr magnetons follow the coordinates.
Atoms (fractional coordinates):
B 0.5000 0.0000 0.5972  -0.06
B 0.0000 0.5000 0.4028  -0.06
Ca 0.5000 0.0000 0.2082  0.01
Ca 0.0000 0.5000 0.7918  0.01
Fe 0.0000 0.0000 0.5000  0.83
Fe 0.5000 0.5000 0.5000  0.83

Magnetization (Bohr magnetons per cell)
8.3, 0.0, 0.5, 0.0, 0.0, 6.9, 0.0, 1.6